Here is a relaxed structure of KZrAl2Pt from Alexandria. Energies are from PBE-GGA.

```
KZrAl2Pt
1.0
5.181 0.000 0.000
0.000 5.181 0.000
0.000 0.000 5.504
K Zr Al Pt
1 1 2 1
direct
0.000 0.000 0.000
0.000 0.000 0.500
0.000 0.500 0.500
0.500 0.000 0.500
0.500 0.500 0.000
```

## Properties
DFT total energy = -3.202 eV per atom
N(E_F) = 6.13 states/eV/cell
ΔE_f = 1.433 eV/atom
crystal system = tetragonal

Here is a relaxed structure of K3Pu3AlS8 from Alexandria. Energies are from PBE-GGA.

```
K3Pu3AlS8
1.0
3.973 2.294 7.449
-3.973 2.294 7.449
0.000 -4.588 7.449
K Pu Al S
3 3 1 8
direct
0.000 0.500 0.500
0.500 0.000 0.500
0.500 0.500 0.000
0.000 0.000 0.500
0.000 0.500 0.000
0.500 0.000 0.000
0.500 0.500 0.500
0.233 0.233 0.233
0.255 0.715 0.715
0.285 0.285 0.745
0.285 0.745 0.285
0.715 0.255 0.715
0.715 0.715 0.255
0.745 0.285 0.285
0.767 0.767 0.767
```

## Properties
DFT total energy = -6.967 eV per atom
N(E_F) = 28.40 states/eV/cell
formation energy without anion corrections = -1.430 eV per atom
crystal system = trigonal

Here is a relaxed structure of K2PuAlS4 from Alexandria. Energies are from PBE-GGA.

```
K2PuAlS4
1.0
-3.935 4.207 5.783
3.935 -4.207 5.783
3.935 4.207 -5.783
K Pu Al S
4 2 2 8
direct
0.000 0.000 0.000
0.500 0.000 0.000
0.500 0.000 0.500
0.500 0.500 0.500
0.000 0.500 0.500
0.500 0.500 0.000
0.000 0.000 0.500
0.000 0.500 0.000
0.188 0.741 0.447
0.206 0.259 0.947
0.220 0.243 0.523
0.220 0.697 0.977
0.780 0.303 0.023
0.780 0.757 0.477
0.794 0.741 0.053
0.812 0.259 0.553
```

## Properties
DFT total energy = -5.835 eV per atom
N(E_F) = 16.70 states/eV/cell
formation energy without anion corrections = -1.238 eV per atom
crystal system = orthorhombic

Here is a relaxed structure of K3Pu2AlS6 from Alexandria. Energies are from PBE-GGA.

```
K3Pu2AlS6
1.0
3.455 -5.987 0.000
3.455 5.987 0.000
-2.317 0.000 7.304
K Pu Al S
3 2 1 6
direct
0.000 0.000 0.000
0.330 0.670 0.000
0.670 0.330 0.000
0.166 0.834 0.500
0.834 0.166 0.500
0.500 0.500 0.500
0.130 0.436 0.308
0.259 0.259 0.692
0.436 0.130 0.308
0.564 0.870 0.692
0.741 0.741 0.308
0.870 0.564 0.692
```

## Properties
DFT total energy = -6.416 eV per atom
N(E_F) = 20.95 states/eV/cell
formation energy without anion corrections = -1.378 eV per atom
crystal system = monoclinic

Here is a relaxed structure of K2Pu2AlS6 from Alexandria. Energies are from PBE-GGA.

```
K2Pu2AlS6
1.0
3.392 -5.823 0.000
3.392 5.823 0.000
-2.287 0.000 7.498
K Pu Al S
2 2 1 6
direct
0.169 0.831 0.000
0.831 0.169 0.000
0.333 0.667 0.500
0.667 0.333 0.500
0.000 0.000 0.500
0.063 0.376 0.688
0.237 0.237 0.317
0.376 0.063 0.688
0.624 0.937 0.312
0.763 0.763 0.683
0.937 0.624 0.312
```

## Properties
DFT total energy = -6.763 eV per atom
N(E_F) = 16.88 states/eV/cell
formation energy without anion corrections = -1.366 eV per atom
crystal system = monoclinic

Here is a relaxed structure of K2Pu2AlSe6 from Alexandria. Energies are from PBE-GGA.

```
K2Pu2AlSe6
1.0
3.546 -6.090 0.000
3.546 6.090 0.000
-2.420 0.000 7.818
K Pu Al Se
2 2 1 6
direct
0.170 0.830 0.000
0.830 0.170 0.000
0.333 0.667 0.500
0.667 0.333 0.500
0.000 0.000 0.500
0.067 0.380 0.694
0.238 0.238 0.312
0.380 0.067 0.694
0.620 0.933 0.306
0.762 0.762 0.688
0.933 0.620 0.306
```

## Properties
DFT total energy = -6.266 eV per atom
N(E_F) = 20.48 states/eV/cell
formation energy without anion corrections = -1.220 eV per atom
crystal system = monoclinic

Here is a relaxed structure of K3Pu3AlTe8 from Alexandria. Energies are from PBE-GGA.

```
K3Pu3AlTe8
1.0
4.456 2.573 8.333
-4.456 2.573 8.333
0.000 -5.145 8.333
K Pu Al Te
3 3 1 8
direct
0.000 0.500 0.500
0.500 0.000 0.500
0.500 0.500 0.000
0.000 0.000 0.500
0.000 0.500 0.000
0.500 0.000 0.000
0.500 0.500 0.500
0.236 0.236 0.236
0.254 0.719 0.719
0.281 0.281 0.746
0.281 0.746 0.281
0.719 0.254 0.719
0.719 0.719 0.254
0.746 0.281 0.281
0.764 0.764 0.764
```

## Properties
DFT total energy = -5.922 eV per atom
N(E_F) = 37.58 states/eV/cell
formation energy without anion corrections = -0.911 eV per atom
crystal system = trigonal

Here is a relaxed structure of K2PuAlTe4 from Alexandria. Energies are from PBE-GGA.

```
K2PuAlTe4
1.0
-4.293 4.293 3.821
4.293 -4.293 3.821
4.293 4.293 -3.821
K Pu Al Te
2 1 1 4
direct
0.000 0.500 0.500
0.500 0.000 0.500
0.000 0.000 0.000
0.500 0.500 0.000
0.113 0.113 0.649
0.465 0.465 0.351
0.535 0.887 0.000
0.887 0.535 0.000
```

## Properties
DFT total energy = -4.931 eV per atom
N(E_F) = 16.13 states/eV/cell
formation energy without anion corrections = -0.827 eV per atom
crystal system = tetragonal

Here is a relaxed structure of KRbAl3 from Alexandria. Energies are from PBE-GGA.

```
KRbAl3
1.0
6.210 0.000 0.000
0.000 6.210 0.000
0.000 0.000 6.210
K Rb Al
1 1 3
direct
0.000 0.000 0.000
0.500 0.500 0.500
0.000 0.500 0.500
0.500 0.000 0.500
0.500 0.500 0.000
```

## Properties
DFT total energy = -1.410 eV per atom
N(E_F) = 8.28 states/eV/cell
ΔE_f = 1.249 eV/atom
offset from the most stable computed form = 118 meV per atom
crystal system = cubic

Here is a relaxed structure of K3RbAl from Alexandria. Energies are from PBE-GGA.

```
K3RbAl
1.0
7.348 0.000 0.000
0.000 7.348 0.000
0.000 0.000 7.348
K Rb Al
3 1 1
direct
0.000 0.000 0.500
0.000 0.500 0.000
0.500 0.000 0.000
0.000 0.000 0.000
0.500 0.500 0.500
```

## Properties
DFT total energy = -0.863 eV per atom
N(E_F) = 5.43 states/eV/cell
ΔE_f = 0.737 eV/atom
offset from the most stable computed form = 480 meV per atom
crystal system = cubic

Here is a relaxed structure of KRbAl3 from Alexandria. Energies are from PBE-GGA.

```
KRbAl3
1.0
6.106 0.000 0.000
0.000 6.106 0.000
0.000 0.000 6.106
K Rb Al
1 1 3
direct
0.000 0.000 0.000
0.500 0.500 0.500
0.000 0.000 0.500
0.000 0.500 0.000
0.500 0.000 0.000
```

## Properties
DFT total energy = -1.527 eV per atom
N(E_F) = 6.69 states/eV/cell
ΔE_f = 1.131 eV/atom
offset from the most stable computed form = 0 meV per atom
crystal system = cubic

Here is a relaxed structure of K2Rb2Al from Alexandria. Energies are from PBE-GGA.

```
K2Rb2Al
1.0
9.324 0.000 0.000
0.000 9.324 0.000
0.000 0.000 7.224
K Rb Al
4 4 2
direct
0.156 0.344 0.000
0.344 0.844 0.000
0.656 0.156 0.000
0.844 0.656 0.000
0.189 0.689 0.500
0.311 0.189 0.500
0.689 0.811 0.500
0.811 0.311 0.500
0.000 0.000 0.000
0.500 0.500 0.000
```

## Properties
DFT total energy = -1.266 eV per atom
N(E_F) = 7.19 states/eV/cell
ΔE_f = 0.309 eV/atom
crystal system = tetragonal

Here is a relaxed structure of KRb3Al from Alexandria. Energies are from PBE-GGA.

```
KRb3Al
1.0
7.209 0.000 0.000
0.000 7.209 0.000
0.000 0.000 7.209
K Rb Al
1 3 1
direct
0.000 0.000 0.000
0.000 0.500 0.500
0.500 0.000 0.500
0.500 0.500 0.000
0.500 0.500 0.500
```

## Properties
DFT total energy = -1.250 eV per atom
N(E_F) = 6.07 states/eV/cell
ΔE_f = 0.298 eV/atom
offset from the most stable computed form = 0 meV per atom
crystal system = cubic